Model A:
VASP calculation (PBE-GGA) on a geometry-optimized MoSeBr2N structure.

The structure in CIF format:
```
data_MoSeBr2N
_space_group_name_H-M_alt 'P 4/m m m'
_space_group_IT_number 123
_space_group_name_Hall '-P 4 2'
_cell_length_a 4.490
_cell_length_b 4.490
_cell_length_c 4.883
_cell_angle_alpha 90.00
_cell_angle_beta 90.00
_cell_angle_gamma 90.00
loop_
_atom_site_label
_atom_site_type_symbol
_atom_site_fract_x
_atom_site_fract_y
_atom_site_fract_z
_atom_site_occupancy
Mo1 Mo 0.000 0.000 0.000 1
Se1 Se 0.500 0.500 0.000 1
Br1 Br 0.000 0.500 0.500 1
N1 N 0.500 0.500 0.500 1
```



Model B:
VASP calculation (PBE-GGA) on a geometry-optimized MoSeBr2N structure.

The structure in CIF format:
```
data_MoSeBr2N
_space_group_name_H-M_alt 'P 4/m m m'
_space_group_IT_number 123
_space_group_name_Hall '-P 4 2'
_cell_length_a 5.305
_cell_length_b 5.305
_cell_length_c 4.838
_cell_angle_alpha 90.00
_cell_angle_beta 90.00
_cell_angle_gamma 90.00
loop_
_atom_site_label
_atom_site_type_symbol
_atom_site_fract_x
_atom_site_fract_y
_atom_site_fract_z
_atom_site_occupancy
Mo1 Mo 0.000 0.000 0.000 1
Se1 Se 0.000 0.000 0.500 1
Br1 Br 0.000 0.500 0.000 1
N1 N 0.500 0.500 0.500 1
```



Ranking the structures above by stability puts model B first and model A last.